Record 1
This record from Alexandria via LeMat-Bulk describes crystalline Ce2Tc3Ge at its relaxed geometry. The functional is GGA-PBE.

Values from the calculation:
space group: P6_3/mmc
formation enthalpy at 0 K: -0.2916 eV per atom

Cell: 5.4278 5.4278 8.7778 Å, 90.00 90.00 120.00°
Positions (direct):
Ce 0.3333 0.6667 0.0805
Ce 0.3333 0.6667 0.4195
Ce 0.6667 0.3333 0.5805
Ce 0.6667 0.3333 0.9195
Tc 0.1721 0.3443 0.7500
Tc 0.1721 0.8279 0.7500
Tc 0.3443 0.1721 0.2500
Tc 0.6557 0.8279 0.7500
Tc 0.8279 0.1721 0.2500
Tc 0.8279 0.6557 0.2500
Ge 0.0000 0.0000 0.0000
Ge 0.0000 0.0000 0.5000

***

Record 2
This record from Alexandria via LeMat-Bulk describes crystalline ZnSbSeN2 at its relaxed geometry. The functional is GGA-PBE.

Values from the calculation:
space group: P4/mmm
energy relative to the elements, uncorrected: 5.5 eV per formula unit

Cell: 3.9475 3.9475 5.9549 Å, 90.00 90.00 90.00°
Positions (direct):
Zn 0.0000 0.0000 0.0000
Sb 0.5000 0.5000 0.5000
Se 0.5000 0.5000 0.0000
N 0.0000 0.5000 0.5000
N 0.5000 0.0000 0.5000

***

Record 3
This record from Alexandria via LeMat-Bulk describes crystalline Mg6CdNi at its relaxed geometry. The functional is GGA-PBE.

Values from the calculation:
space group: Amm2
formation enthalpy at 0 K: -0.0131 eV per atom

Cell: 4.8144 6.2163 10.6046 Å, 90.00 90.00 90.00°
Positions (direct):
Mg 0.0000 0.0000 0.0000
Mg 0.0000 0.0000 0.4927
Mg 0.0000 0.2368 0.2552
Mg 0.0000 0.2632 0.7552
Mg 0.0000 0.5000 0.5000
Mg 0.0000 0.5000 0.9927
Mg 0.0000 0.7368 0.7552
Mg 0.0000 0.7632 0.2552
Mg 0.5000 0.2483 0.5814
Mg 0.5000 0.2517 0.0814
Mg 0.5000 0.7483 0.0814
Mg 0.5000 0.7517 0.5814
Cd 0.5000 0.0000 0.8320
Cd 0.5000 0.5000 0.3320
Ni 0.5000 0.0000 0.3374
Ni 0.5000 0.5000 0.8374

***

Record 4
This record from Alexandria via LeMat-Bulk describes crystalline FeAuCl2 at its relaxed geometry. The functional is GGA-PBE.

Values from the calculation:
space group: Imm2
energy relative to the elements, uncorrected: -0.2 eV per formula unit

Cell: 3.3333 7.2930 8.7434 Å, 90.00 90.00 90.00°
Positions (direct):
Fe 0.0000 0.0000 0.0000
Fe 0.5000 0.5000 0.5000
Au 0.0000 0.5000 0.2833
Au 0.5000 0.0000 0.7833
Cl 0.0000 0.0000 0.5646
Cl 0.0000 0.5000 0.6788
Cl 0.5000 0.0000 0.1788
Cl 0.5000 0.5000 0.0646

***

Record 5
This record from Alexandria via LeMat-Bulk describes crystalline CeNd15Dy4 at its relaxed geometry. The functional is GGA-PBE.

Values from the calculation:
space group: P4/mmm
formation enthalpy at 0 K: 0.0279 eV per atom

Cell: 5.1659 5.1659 25.7479 Å, 90.00 90.00 90.00°
Positions (direct):
Ce 0.0000 0.0000 0.0000
Nd 0.0000 0.5000 0.0994
Nd 0.0000 0.5000 0.2999
Nd 0.0000 0.5000 0.5000
Nd 0.0000 0.5000 0.7001
Nd 0.0000 0.5000 0.9006
Nd 0.5000 0.0000 0.0994
Nd 0.5000 0.0000 0.2999
Nd 0.5000 0.0000 0.5000
Nd 0.5000 0.0000 0.7001
Nd 0.5000 0.0000 0.9006
Nd 0.5000 0.5000 0.0000
Nd 0.5000 0.5000 0.2013
Nd 0.5000 0.5000 0.4003
Nd 0.5000 0.5000 0.5997
Nd 0.5000 0.5000 0.7987
Dy 0.0000 0.0000 0.2000
Dy 0.0000 0.0000 0.4000
Dy 0.0000 0.0000 0.6000
Dy 0.0000 0.0000 0.8000

***

Record 6
This record from Alexandria via LeMat-Bulk describes crystalline K2Rb3NpO6 at its relaxed geometry. The functional is GGA-PBE.

Values from the calculation:
space group: C2/m
energy relative to the elements, uncorrected: -24.4 eV per formula unit

Cell: 6.6091 6.6091 6.6932 Å, 99.65 99.65 119.56°
Positions (direct):
K 0.1661 0.8339 0.0000
K 0.8339 0.1661 0.0000
Rb 0.0000 0.0000 0.5000
Rb 0.3298 0.6702 0.5000
Rb 0.6702 0.3298 0.5000
Np 0.5000 0.5000 0.0000
O 0.1841 0.4374 0.8108
O 0.3131 0.3131 0.1888
O 0.4374 0.1841 0.8108
O 0.5626 0.8159 0.1892
O 0.6869 0.6869 0.8112
O 0.8159 0.5626 0.1892

***

Record 7
This record from Alexandria via LeMat-Bulk describes crystalline KZr3Au at its relaxed geometry. The functional is GGA-PBE.

Values from the calculation:
space group: Pm-3m
formation enthalpy at 0 K: 1.8632 eV per atom

Cell: 4.8477 4.8477 4.8477 Å, 90.00 90.00 90.00°
Positions (direct):
K 0.0000 0.0000 0.0000
Zr 0.0000 0.0000 0.5000
Zr 0.0000 0.5000 0.0000
Zr 0.5000 0.0000 0.0000
Au 0.5000 0.5000 0.5000

***

Record 8
This record from Alexandria via LeMat-Bulk describes crystalline Ca2ZrMn at its relaxed geometry. The functional is GGA-PBE.

Values from the calculation:
space group: I-42d
formation enthalpy at 0 K: 0.7403 eV per atom

Cell: 10.6633 10.6633 4.7453 Å, 90.00 90.00 90.00°
Positions (direct):
Ca 0.1092 0.7500 0.1250
Ca 0.2500 0.1092 0.8750
Ca 0.2500 0.3908 0.3750
Ca 0.3908 0.7500 0.6250
Ca 0.6092 0.2500 0.6250
Ca 0.7500 0.6092 0.3750
Ca 0.7500 0.8908 0.8750
Ca 0.8908 0.2500 0.1250
Zr 0.0000 0.0000 0.5000
Zr 0.0000 0.5000 0.7500
Zr 0.5000 0.0000 0.2500
Zr 0.5000 0.5000 0.0000
Mn 0.0000 0.0000 0.0000
Mn 0.0000 0.5000 0.2500
Mn 0.5000 0.0000 0.7500
Mn 0.5000 0.5000 0.5000

***

Record 9
This record from Alexandria via LeMat-Bulk describes crystalline YThSc2P4 at its relaxed geometry. The functional is GGA-PBE.

Values from the calculation:
space group: P2/m
formation enthalpy at 0 K: -1.5313 eV per atom

Cell: 6.7636 3.9443 6.8175 Å, 90.00 109.61 90.00°
Positions (direct):
Y 0.0000 0.0000 0.0000
Th 0.0000 0.5000 0.5000
Sc 0.5000 0.0000 0.5000
Sc 0.5000 0.5000 0.0000
P 0.2678 0.5000 0.2530
P 0.2712 0.0000 0.7607
P 0.7288 0.0000 0.2393
P 0.7322 0.5000 0.7470

***

Record 10
This record from Alexandria via LeMat-Bulk describes crystalline SrMnTl at its relaxed geometry. The functional is GGA-PBE.

Values from the calculation:
space group: P-6m2
formation enthalpy at 0 K: 0.1267 eV per atom

Cell: 4.9734 4.9734 4.0048 Å, 90.00 90.00 120.00°
Positions (direct):
Sr 0.0000 0.0000 0.0000
Mn 0.3333 0.6667 0.5000
Tl 0.6667 0.3333 0.5000

***

Record 11
This record from Alexandria via LeMat-Bulk describes crystalline Cu2PSe at its relaxed geometry. The functional is GGA-PBE.

Values from the calculation:
space group: Immm
energy relative to the elements, uncorrected: 1.4 eV per formula unit

Cell: 3.4459 5.0319 7.2362 Å, 90.00 90.00 90.00°
Positions (direct):
Cu 0.0000 0.0000 0.2311
Cu 0.0000 0.0000 0.7689
Cu 0.5000 0.5000 0.2689
Cu 0.5000 0.5000 0.7311
P 0.0000 0.5000 0.5000
P 0.5000 0.0000 0.0000
Se 0.0000 0.5000 0.0000
Se 0.5000 0.0000 0.5000

***

Record 12
This record from Alexandria via LeMat-Bulk describes crystalline TbGa4CoCu2 at its relaxed geometry. The functional is GGA-PBE.

Values from the calculation:
space group: R-3m
formation enthalpy at 0 K: -0.2958 eV per atom

Cell: 9.0250 9.0250 9.0250 Å, 26.43 26.43 26.43°
Positions (direct):
Tb 0.0000 0.0000 0.0000
Ga 0.1331 0.1331 0.1331
Ga 0.4031 0.4031 0.4031
Ga 0.5969 0.5969 0.5969
Ga 0.8669 0.8669 0.8669
Co 0.5000 0.5000 0.5000
Cu 0.2360 0.2360 0.2360
Cu 0.7640 0.7640 0.7640

***

Record 13
This record from Alexandria via LeMat-Bulk describes crystalline Np4IrRh12 at its relaxed geometry. The functional is GGA-PBE.

Values from the calculation:
space group: Im-3m
formation enthalpy at 0 K: -0.2249 eV per atom

Cell: 7.2145 7.2145 7.2145 Å, 109.47 109.47 109.47°
Positions (direct):
Np 0.0000 0.0000 0.5000
Np 0.0000 0.5000 0.0000
Np 0.5000 0.0000 0.0000
Np 0.5000 0.5000 0.5000
Ir 0.0000 0.0000 0.0000
Rh 0.0000 0.2988 0.2988
Rh 0.0000 0.7012 0.7012
Rh 0.2500 0.5000 0.7500
Rh 0.2500 0.7500 0.5000
Rh 0.2988 0.0000 0.2988
Rh 0.2988 0.2988 0.0000
Rh 0.5000 0.2500 0.7500
Rh 0.5000 0.7500 0.2500
Rh 0.7012 0.0000 0.7012
Rh 0.7012 0.7012 0.0000
Rh 0.7500 0.2500 0.5000
Rh 0.7500 0.5000 0.2500

***

Record 14
This record from Alexandria via LeMat-Bulk describes crystalline MnCuI3 at its relaxed geometry. The functional is GGA-PBE.

Values from the calculation:
space group: C2/m
energy relative to the elements, uncorrected: -1.4 eV per formula unit

Cell: 7.5477 7.5477 13.0668 Å, 96.79 96.79 33.29°
Positions (direct):
Mn 0.0802 0.0802 0.2799
Mn 0.9198 0.9198 0.7201
Cu 0.3050 0.3050 0.1941
Cu 0.6950 0.6950 0.8059
I 0.1120 0.1120 0.7430
I 0.1439 0.1439 0.0974
I 0.3715 0.3715 0.5984
I 0.6285 0.6285 0.4016
I 0.8561 0.8561 0.9026
I 0.8880 0.8880 0.2570

***

Record 15
This record from Alexandria via LeMat-Bulk describes crystalline Nd2HoCdO at its relaxed geometry. The functional is GGA-PBE.

Values from the calculation:
space group: P4/mmm
energy relative to the elements, uncorrected: -6.4 eV per formula unit

Cell: 5.0175 5.0175 4.7219 Å, 90.00 90.00 90.00°
Positions (direct):
Nd 0.0000 0.5000 0.0000
Nd 0.5000 0.0000 0.0000
Ho 0.0000 0.0000 0.5000
Cd 0.5000 0.5000 0.5000
O 0.0000 0.0000 0.0000

***

Record 16
This record from Alexandria via LeMat-Bulk describes crystalline ZnCd2Br at its relaxed geometry. The functional is GGA-PBE.

Values from the calculation:
space group: P4mm
energy relative to the elements, uncorrected: -0.2 eV per formula unit

Cell: 3.4343 3.4343 7.9378 Å, 90.00 90.00 90.00°
Positions (direct):
Zn 0.0000 0.0000 0.0000
Cd 0.0000 0.0000 0.5210
Cd 0.5000 0.5000 0.7766
Br 0.5000 0.5000 0.2266

***

Record 17
This record from Alexandria via LeMat-Bulk describes crystalline La5NdDy4 at its relaxed geometry. The functional is GGA-PBE.

Values from the calculation:
space group: P4/mmm
formation enthalpy at 0 K: 0.0223 eV per atom

Cell: 3.7061 3.7061 25.2495 Å, 90.00 90.00 90.00°
Positions (direct):
La 0.0000 0.0000 0.0000
La 0.0000 0.0000 0.1980
La 0.0000 0.0000 0.3969
La 0.0000 0.0000 0.6031
La 0.0000 0.0000 0.8020
Nd 0.5000 0.5000 0.5000
Dy 0.5000 0.5000 0.0990
Dy 0.5000 0.5000 0.2970
Dy 0.5000 0.5000 0.7030
Dy 0.5000 0.5000 0.9010

***

Record 18
This record from Alexandria via LeMat-Bulk describes crystalline Cu2SnHgO at its relaxed geometry. The functional is GGA-PBE.

Values from the calculation:
space group: P4/mmm
energy relative to the elements, uncorrected: 0.2 eV per formula unit

Cell: 3.9754 3.9754 5.7746 Å, 90.00 90.00 90.00°
Positions (direct):
Cu 0.0000 0.5000 0.0000
Cu 0.5000 0.0000 0.0000
Sn 0.0000 0.0000 0.5000
Hg 0.5000 0.5000 0.5000
O 0.5000 0.5000 0.0000

***

Record 19
This record from Alexandria via LeMat-Bulk describes crystalline Li3SmSe3 at its relaxed geometry. The functional is GGA-PBE.

Values from the calculation:
space group: R-3
energy relative to the elements, uncorrected: -10.4 eV per formula unit

Cell: 8.0607 8.0607 8.0607 Å, 54.65 54.65 54.65°
Positions (direct):
Li 0.1298 0.8117 0.4234
Li 0.1883 0.5766 0.8702
Li 0.4234 0.1298 0.8117
Li 0.5766 0.8702 0.1883
Li 0.8117 0.4234 0.1298
Li 0.8702 0.1883 0.5766
Sm 0.3337 0.3337 0.3337
Sm 0.6663 0.6663 0.6663
Se 0.0804 0.4448 0.7270
Se 0.2730 0.9196 0.5552
Se 0.4448 0.7270 0.0804
Se 0.5552 0.2730 0.9196
Se 0.7270 0.0804 0.4448
Se 0.9196 0.5552 0.2730

***

Record 20
This record from Alexandria via LeMat-Bulk describes crystalline NaMnInSe3 at its relaxed geometry. The functional is GGA-PBE.

Values from the calculation:
space group: P2_1/m
energy relative to the elements, uncorrected: -3.6 eV per formula unit

Cell: 7.9485 3.9921 10.9865 Å, 90.00 108.80 90.00°
Positions (direct):
Na 0.2171 0.2500 0.1757
Na 0.7829 0.7500 0.8243
Mn 0.3381 0.7500 0.9129
Mn 0.6619 0.2500 0.0871
In 0.1350 0.2500 0.6405
In 0.8650 0.7500 0.3595
Se 0.0831 0.2500 0.8617
Se 0.2248 0.7500 0.5180
Se 0.4804 0.7500 0.1581
Se 0.5196 0.2500 0.8419
Se 0.7752 0.2500 0.4820
Se 0.9169 0.7500 0.1383

***

Record 21
This record from Alexandria via LeMat-Bulk describes crystalline CsP2PdO at its relaxed geometry. The functional is GGA-PBE.

Values from the calculation:
space group: P4/mmm
energy relative to the elements, uncorrected: 1.6 eV per formula unit

Cell: 4.5107 4.5107 6.7288 Å, 90.00 90.00 90.00°
Positions (direct):
Cs 0.0000 0.0000 0.0000
P 0.0000 0.5000 0.5000
P 0.5000 0.0000 0.5000
Pd 0.5000 0.5000 0.5000
O 0.5000 0.5000 0.0000

***

Record 22
This record from Alexandria via LeMat-Bulk describes crystalline PuCdBiO at its relaxed geometry. The functional is GGA-PBE.

Values from the calculation:
space group: I4mm
energy relative to the elements, uncorrected: -4.3 eV per formula unit

Cell: 3.2577 3.2577 19.0085 Å, 90.00 90.00 90.00°
Positions (direct):
Pu 0.0000 0.0000 0.0000
Pu 0.5000 0.5000 0.5000
Cd 0.0000 0.0000 0.6988
Cd 0.5000 0.5000 0.1988
Bi 0.0000 0.0000 0.3515
Bi 0.5000 0.5000 0.8516
O 0.0000 0.0000 0.5284
O 0.5000 0.5000 0.0284

***

Record 23
This record from Alexandria via LeMat-Bulk describes crystalline Cd2Cl3F at its relaxed geometry. The functional is GGA-PBE.

Values from the calculation:
space group: C2/m
energy relative to the elements, uncorrected: -8.0 eV per formula unit

Cell: 8.2298 8.2298 10.1948 Å, 104.03 104.03 27.00°
Positions (direct):
Cd 0.0891 0.0891 0.2837
Cd 0.3898 0.3898 0.0501
Cd 0.6102 0.6102 0.9499
Cd 0.9109 0.9109 0.7163
Cl 0.0847 0.0847 0.7681
Cl 0.1962 0.1962 0.1128
Cl 0.3626 0.3626 0.5550
Cl 0.6374 0.6374 0.4450
Cl 0.8038 0.8038 0.8872
Cl 0.9153 0.9153 0.2319
F 0.4568 0.4568 0.8703
F 0.5432 0.5432 0.1297

***

| no. | final energy (eV per formula unit) | calculated volume (A^3/atom) |
| --- | --- | --- |
| 1 | -49.33 | 18.66 |
| 2 | -20.07 | 18.56 |
| 3 | -16.37 | 19.84 |
| 4 | -15.61 | 26.57 |
| 5 | -95.30 | 34.36 |
| 6 | -72.16 | 19.98 |
| 7 | -20.70 | 22.78 |
| 8 | -18.76 | 33.72 |
| 9 | -60.44 | 21.42 |
| 10 | -12.84 | 28.60 |
| 11 | -15.73 | 15.68 |
| 12 | -34.40 | 16.05 |
| 13 | -152.66 | 17.00 |
| 14 | -19.31 | 40.55 |
| 15 | -26.43 | 23.78 |
| 16 | -4.95 | 23.41 |
| 17 | -47.59 | 34.68 |
| 18 | -17.27 | 18.25 |
| 19 | -31.32 | 23.16 |
| 20 | -27.32 | 27.50 |
| 21 | -20.22 | 27.38 |
| 22 | -28.36 | 25.22 |
| 23 | -17.26 | 25.30 |